{"formula": "K3BiO3", "functional": "PBE", "state": "relaxed", "lattice_angstrom": [[-5.443, 5.443, 5.443], [5.443, -5.443, 5.443], [5.443, 5.443, -5.443]], "species": ["K", "K", "K", "K", "K", "K", "K", "K", "K", "K", "K", "K", "Bi", "Bi", "Bi", "Bi", "O", "O", "O", "O", "O", "O", "O", "O", "O", "O", "O", "O"], "fractional_positions": [[0.000, 0.270, 0.515], [0.000, 0.515, 0.270], [0.245, 0.730, 0.730], [0.270, 0.000, 0.515], [0.270, 0.515, 0.000], [0.485, 0.485, 0.755], [0.485, 0.755, 0.485], [0.515, 0.000, 0.270], [0.515, 0.270, 0.000], [0.730, 0.245, 0.730], [0.730, 0.730, 0.245], [0.755, 0.485, 0.485], [0.000, 0.000, 0.703], [0.000, 0.703, 0.000], [0.297, 0.297, 0.297], [0.703, 0.000, 0.000], [0.000, 0.528, 0.790], [0.000, 0.790, 0.528], [0.210, 0.210, 0.738], [0.210, 0.738, 0.210], [0.262, 0.472, 0.472], [0.472, 0.262, 0.472], [0.472, 0.472, 0.262], [0.528, 0.000, 0.790], [0.528, 0.790, 0.000], [0.738, 0.210, 0.210], [0.790, 0.000, 0.528], [0.790, 0.528, 0.000]], "polymorph_energy_mev_per_atom": 0.0, "crystal_system": "cubic", "e_tot_ev_per_atom": -4.540}

{"formula": "K12Bi3O5", "functional": "PBE", "state": "relaxed", "lattice_angstrom": [[-8.936, 8.936, 8.936], [8.936, -8.936, 8.936], [8.936, 8.936, -8.936]], "species": ["K", "K", "K", "K", "K", "K", "K", "K", "K", "K", "K", "K", "K", "K", "K", "K", "K", "K", "K", "K", "K", "K", "K", "K", "K", "K", "K", "K", "K", "K", "K", "K", "K", "K", "K", "K", "K", "K", "K", "K", "K", "K", "K", "K", "K", "K", "K", "K", "Bi", "Bi", "Bi", "Bi", "Bi", "Bi", "Bi", "Bi", "Bi", "Bi", "Bi", "Bi", "O", "O", "O", "O", "O", "O", "O", "O", "O", "O", "O", "O", "O", "O", "O", "O", "O", "O", "O", "O"], "fractional_positions": [[0.003, 0.186, 0.101], [0.003, 0.317, 0.902], [0.085, 0.686, 0.683], [0.085, 0.899, 0.402], [0.098, 0.601, 0.415], [0.098, 0.997, 0.683], [0.101, 0.003, 0.186], [0.101, 0.598, 0.915], [0.183, 0.186, 0.585], [0.183, 0.497, 0.598], [0.186, 0.101, 0.003], [0.186, 0.585, 0.183], [0.314, 0.317, 0.915], [0.314, 0.497, 0.399], [0.317, 0.902, 0.003], [0.317, 0.915, 0.314], [0.399, 0.314, 0.497], [0.399, 0.585, 0.902], [0.402, 0.085, 0.899], [0.402, 0.817, 0.503], [0.415, 0.098, 0.601], [0.415, 0.817, 0.814], [0.497, 0.399, 0.314], [0.497, 0.598, 0.183], [0.503, 0.402, 0.817], [0.503, 0.601, 0.686], [0.585, 0.183, 0.186], [0.585, 0.902, 0.399], [0.598, 0.183, 0.497], [0.598, 0.915, 0.101], [0.601, 0.415, 0.098], [0.601, 0.686, 0.503], [0.683, 0.085, 0.686], [0.683, 0.098, 0.997], [0.686, 0.503, 0.601], [0.686, 0.683, 0.085], [0.814, 0.415, 0.817], [0.814, 0.899, 0.997], [0.817, 0.503, 0.402], [0.817, 0.814, 0.415], [0.899, 0.402, 0.085], [0.899, 0.997, 0.814], [0.902, 0.003, 0.317], [0.902, 0.399, 0.585], [0.915, 0.101, 0.598], [0.915, 0.314, 0.317], [0.997, 0.683, 0.098], [0.997, 0.814, 0.899], [0.125, 0.250, 0.375], [0.125, 0.375, 0.750], [0.250, 0.375, 0.125], [0.250, 0.875, 0.625], [0.375, 0.125, 0.250], [0.375, 0.750, 0.125], [0.625, 0.250, 0.875], [0.625, 0.875, 0.750], [0.750, 0.125, 0.375], [0.750, 0.625, 0.875], [0.875, 0.625, 0.250], [0.875, 0.750, 0.625], [0.000, 0.000, 0.000], [0.000, 0.000, 0.500], [0.000, 0.500, 0.000], [0.000, 0.500, 0.500], [0.125, 0.750, 0.875], [0.125, 0.875, 0.250], [0.250, 0.125, 0.875], [0.250, 0.625, 0.375], [0.375, 0.250, 0.625], [0.375, 0.625, 0.750], [0.500, 0.000, 0.000], [0.500, 0.000, 0.500], [0.500, 0.500, 0.000], [0.500, 0.500, 0.500], [0.625, 0.375, 0.250], [0.625, 0.750, 0.375], [0.750, 0.375, 0.625], [0.750, 0.875, 0.125], [0.875, 0.125, 0.750], [0.875, 0.250, 0.125]], "crystal_system": "cubic", "e_tot_ev_per_atom": -3.051}

{"formula": "K3BiO3", "functional": "PBE", "state": "relaxed", "lattice_angstrom": [[5.155, -5.474, 0.000], [5.155, 5.474, 0.000], [0.000, 0.000, 5.715]], "species": ["K", "K", "K", "K", "K", "K", "Bi", "Bi", "O", "O", "O", "O", "O", "O"], "fractional_positions": [[0.102, 0.898, 0.750], [0.134, 0.381, 0.750], [0.381, 0.134, 0.250], [0.619, 0.866, 0.750], [0.866, 0.619, 0.250], [0.898, 0.102, 0.250], [0.345, 0.655, 0.250], [0.655, 0.345, 0.750], [0.153, 0.847, 0.250], [0.157, 0.416, 0.250], [0.416, 0.157, 0.750], [0.584, 0.843, 0.250], [0.843, 0.584, 0.750], [0.847, 0.153, 0.750]], "polymorph_energy_mev_per_atom": 236.1, "crystal_system": "orthorhombic", "e_tot_ev_per_atom": -4.304}

{"formula": "K4BiO5", "functional": "PBE", "state": "relaxed", "lattice_angstrom": [[-4.156, 4.156, 2.920], [4.156, -4.156, 2.920], [4.156, 4.156, -2.920]], "species": ["K", "K", "K", "K", "Bi", "O", "O", "O", "O", "O"], "fractional_positions": [[0.089, 0.295, 0.384], [0.295, 0.911, 0.205], [0.705, 0.089, 0.795], [0.911, 0.705, 0.616], [0.540, 0.540, 0.000], [0.229, 0.542, 0.835], [0.394, 0.229, 0.686], [0.542, 0.707, 0.314], [0.707, 0.394, 0.165], [0.891, 0.891, 0.000]], "polymorph_energy_mev_per_atom": 0.0, "crystal_system": "tetragonal", "e_tot_ev_per_atom": -4.496}

{"formula": "K3BiO4", "functional": "PBE", "state": "relaxed", "lattice_angstrom": [[9.374, 0.000, 0.000], [0.000, 8.482, 0.000], [0.000, 0.000, 9.771]], "species": ["K", "K", "K", "K", "K", "K", "K", "K", "K", "K", "K", "K", "Bi", "Bi", "Bi", "Bi", "O", "O", "O", "O", "O", "O", "O", "O", "O", "O", "O", "O", "O", "O", "O", "O"], "fractional_positions": [[0.003, 0.020, 0.196], [0.003, 0.480, 0.196], [0.204, 0.750, 0.445], [0.296, 0.250, 0.945], [0.497, 0.520, 0.696], [0.497, 0.980, 0.696], [0.503, 0.020, 0.304], [0.503, 0.480, 0.304], [0.704, 0.750, 0.055], [0.796, 0.250, 0.555], [0.997, 0.520, 0.804], [0.997, 0.980, 0.804], [0.185, 0.250, 0.519], [0.315, 0.750, 0.019], [0.685, 0.250, 0.981], [0.815, 0.750, 0.481], [0.025, 0.250, 0.377], [0.087, 0.250, 0.706], [0.196, 0.550, 0.997], [0.196, 0.950, 0.997], [0.304, 0.050, 0.497], [0.304, 0.450, 0.497], [0.413, 0.750, 0.206], [0.475, 0.750, 0.877], [0.525, 0.250, 0.123], [0.587, 0.250, 0.794], [0.696, 0.550, 0.503], [0.696, 0.950, 0.503], [0.804, 0.050, 0.003], [0.804, 0.450, 0.003], [0.913, 0.750, 0.294], [0.975, 0.750, 0.623]], "crystal_system": "orthorhombic", "e_tot_ev_per_atom": -4.654}

{"formula": "K5BiO4", "functional": "PBE", "state": "relaxed", "lattice_angstrom": [[8.310, -1.921, 0.000], [8.310, 1.921, 0.000], [-2.413, 0.000, 6.970]], "species": ["K", "K", "K", "K", "K", "Bi", "O", "O", "O", "O"], "fractional_positions": [[0.000, 0.000, 0.000], [0.334, 0.334, 0.603], [0.341, 0.341, 0.151], [0.659, 0.659, 0.849], [0.666, 0.666, 0.397], [0.000, 0.000, 0.500], [0.158, 0.158, 0.626], [0.498, 0.498, 0.727], [0.502, 0.502, 0.273], [0.842, 0.842, 0.374]], "crystal_system": "monoclinic", "e_tot_ev_per_atom": -4.032}

Number 1: M_tot 0.0 μB/f.u., formation energy from raw total energies -1.391 eV per atom. Number 2: M_tot 7.1 μB/f.u., formation energy from raw total energies -0.571 eV per atom. Number 3: M_tot 0.0 μB/f.u., formation energy from raw total energies -1.155 eV per atom. Number 4: M_tot 1.1 μB/f.u., formation energy from raw total energies -1.190 eV per atom. Number 5: M_tot 0.2 μB/f.u., formation energy from raw total energies -1.279 eV per atom. Number 6: M_tot 0.0 μB/f.u., formation energy from raw total energies -1.112 eV per atom.